# GaSbPb2Se5 | Alexandria | PBE | relaxed
# Total DFT energy (no corrections) (hartree per atom): -0.148
# Magnetization (μB per atom): 0.000
# SG: Cmc2_1, No. 36
data_GaSbPb2Se5
_chemical_formula_sum 'Ga2 Sb2 Pb4 Se10'
_cell_length_a 4.086
_cell_length_b 9.505
_cell_length_c 12.978
_cell_angle_alpha 90.00
_cell_angle_beta 90.00
_cell_angle_gamma 102.41
_symmetry_space_group_name_H-M 'P 1'
_symmetry_Int_Tables_number 1
loop_
_symmetry_equiv_pos_as_xyz
'x,y,z'
loop_
_atom_site_label
_atom_site_fract_x
_atom_site_fract_y
_atom_site_fract_z
Ga1 0.444 0.888 0.430
Ga2 0.556 0.112 0.930
Se1 0.039 0.077 0.038
Se2 0.961 0.923 0.538
Se3 0.510 0.021 0.271
Se4 0.711 0.423 0.179
Se5 0.647 0.295 0.511
Se6 0.318 0.636 0.366
Se7 0.490 0.979 0.771
Se8 0.289 0.577 0.679
Se9 0.353 0.705 0.011
Se10 0.682 0.364 0.866
Sb1 0.795 0.589 0.527
Sb2 0.205 0.411 0.027
Pb1 0.124 0.249 0.680
Pb2 0.122 0.243 0.323
Pb3 0.878 0.757 0.823
Pb4 0.876 0.751 0.180

***

# Ho4In2Pb | Alexandria | PBE | relaxed
# Total DFT energy (no corrections) (hartree per atom): -0.155
# Magnetization (μB per atom): 0.000
# SG: R-3m, No. 166
data_Ho4In2Pb
_chemical_formula_sum 'Ho4 In2 Pb1'
_cell_length_a 5.250
_cell_length_b 5.250
_cell_length_c 9.144
_cell_angle_alpha 73.32
_cell_angle_beta 73.32
_cell_angle_gamma 60.00
_symmetry_space_group_name_H-M 'P 1'
_symmetry_Int_Tables_number 1
loop_
_symmetry_equiv_pos_as_xyz
'x,y,z'
loop_
_atom_site_label
_atom_site_fract_x
_atom_site_fract_y
_atom_site_fract_z
Ho1 0.128 0.128 0.617
Ho2 0.619 0.619 0.143
Ho3 0.381 0.381 0.857
Ho4 0.872 0.872 0.383
In1 0.754 0.754 0.737
In2 0.246 0.246 0.263
Pb1 0.000 0.000 0.000

***

# Tb6Nd3YEr2 | Alexandria | PBE | relaxed
# Total DFT energy (no corrections) (hartree per atom): -0.176
# Magnetization (μB per atom): 0.000
# SG: C2/m, No. 12
data_Tb6Nd3YEr2
_chemical_formula_sum 'Tb6 Nd3 Y1 Er2'
_cell_length_a 6.210
_cell_length_b 6.210
_cell_length_c 11.871
_cell_angle_alpha 94.99
_cell_angle_beta 94.99
_cell_angle_gamma 119.98
_symmetry_space_group_name_H-M 'P 1'
_symmetry_Int_Tables_number 1
loop_
_symmetry_equiv_pos_as_xyz
'x,y,z'
loop_
_atom_site_label
_atom_site_fract_x
_atom_site_fract_y
_atom_site_fract_z
Tb1 0.918 0.583 0.754
Tb2 0.082 0.417 0.246
Tb3 0.417 0.082 0.246
Tb4 0.252 0.252 0.754
Tb5 0.748 0.748 0.246
Tb6 0.583 0.918 0.754
Er1 0.333 0.667 0.000
Er2 0.667 0.333 0.000
Nd1 0.500 0.500 0.500
Nd2 0.833 0.167 0.500
Nd3 0.167 0.833 0.500
Y1 0.000 0.000 0.000

***

# MgMnHg2 | Alexandria | PBE | relaxed
# Total DFT energy (no corrections) (hartree per atom): -0.099
# Magnetization (μB per atom): 0.958
# SG: I-4m2, No. 119
data_MgMnHg2
_chemical_formula_sum 'Mg1 Mn1 Hg2'
_cell_length_a 5.395
_cell_length_b 5.395
_cell_length_c 5.395
_cell_angle_alpha 134.16
_cell_angle_beta 134.16
_cell_angle_gamma 66.84
_symmetry_space_group_name_H-M 'P 1'
_symmetry_Int_Tables_number 1
loop_
_symmetry_equiv_pos_as_xyz
'x,y,z'
loop_
_atom_site_label
_atom_site_fract_x
_atom_site_fract_y
_atom_site_fract_z
Mg1 0.500 0.500 0.000
Mn1 0.750 0.250 0.500
Hg1 0.000 0.000 0.000
Hg2 0.250 0.750 0.500

***

# NdY2Rh | Alexandria | PBE | relaxed
# Magnetization (μB per atom): 0.000
# SG: Pnma, No. 62
# Energy above the most stable polymorph in this dataset (eV per formula unit): 0.00
data_NdY2Rh
_chemical_formula_sum 'Nd4 Y8 Rh4'
_cell_length_a 6.475
_cell_length_b 7.240
_cell_length_c 9.576
_cell_angle_alpha 90.00
_cell_angle_beta 90.00
_cell_angle_gamma 90.00
_symmetry_space_group_name_H-M 'P 1'
_symmetry_Int_Tables_number 1
loop_
_symmetry_equiv_pos_as_xyz
'x,y,z'
loop_
_atom_site_label
_atom_site_fract_x
_atom_site_fract_y
_atom_site_fract_z
Nd1 0.139 0.964 0.750
Nd2 0.361 0.464 0.750
Nd3 0.639 0.536 0.250
Nd4 0.861 0.036 0.250
Y1 0.829 0.325 0.565
Y2 0.171 0.675 0.065
Y3 0.829 0.325 0.935
Y4 0.329 0.175 0.065
Y5 0.171 0.675 0.435
Y6 0.671 0.825 0.565
Y7 0.671 0.825 0.935
Y8 0.329 0.175 0.435
Rh1 0.437 0.882 0.250
Rh2 0.563 0.118 0.750
Rh3 0.063 0.382 0.250
Rh4 0.937 0.618 0.750

***

# Nd8CuS3Br4 | Alexandria | PBE | relaxed
# Total DFT energy (no corrections) (hartree per atom): -0.191
# Magnetization (μB per atom): 0.000
# SG: R-3m, No. 166
data_Nd8CuS3Br4
_chemical_formula_sum 'Nd8 Cu1 S3 Br4'
_cell_length_a 8.216
_cell_length_b 8.757
_cell_length_c 8.217
_cell_angle_alpha 117.98
_cell_angle_beta 120.00
_cell_angle_gamma 90.00
_symmetry_space_group_name_H-M 'P 1'
_symmetry_Int_Tables_number 1
loop_
_symmetry_equiv_pos_as_xyz
'x,y,z'
loop_
_atom_site_label
_atom_site_fract_x
_atom_site_fract_y
_atom_site_fract_z
Nd1 0.764 0.296 0.031
Nd2 0.764 0.296 0.529
Nd3 0.236 0.704 0.969
Nd4 0.267 0.301 0.534
Nd5 0.236 0.704 0.471
Nd6 0.733 0.704 0.969
Nd7 0.733 0.699 0.466
Nd8 0.267 0.296 0.031
S1 0.500 0.500 0.000
S2 0.000 0.500 0.500
S3 0.500 0.500 0.500
Br1 0.500 0.000 0.000
Br2 0.500 0.000 0.500
Br3 0.000 0.000 0.500
Br4 0.000 0.000 0.000
Cu1 0.000 0.500 0.000